Record 1
DFT (PBE-GGA) results for crystalline TmAlSnTe3 at its relaxed geometry.

M_tot   0.00 μB/atom
Total energy   -24.7 eV per formula unit
Crystal system   orthorhombic

a = 7.597 Å, b = 7.597 Å, c = 10.968 Å
α = 90.00°, β = 90.00°, γ = 146.36°
Sites, in units of the cell vectors:
Al (0.525, 0.475, 0.250)
Al (0.475, 0.525, 0.750)
Te (0.643, 0.357, 0.050)
Te (0.357, 0.643, 0.950)
Te (0.098, 0.902, 0.750)
Te (0.357, 0.643, 0.550)
Te (0.902, 0.098, 0.250)
Te (0.643, 0.357, 0.450)
Tm (0.000, 0.000, 0.000)
Tm (0.000, 0.000, 0.500)
Sn (0.200, 0.800, 0.250)
Sn (0.800, 0.200, 0.750)

Record 2
DFT (PBE-GGA) results for crystalline ZrAlSnTe3 at its relaxed geometry.

M_tot   0.00 μB/atom
Total energy   -27.7 eV per formula unit
Crystal system   orthorhombic

a = 8.235 Å, b = 8.235 Å, c = 10.321 Å
α = 90.00°, β = 90.00°, γ = 152.50°
Sites, in units of the cell vectors:
Te (0.360, 0.640, 0.544)
Te (0.640, 0.360, 0.456)
Te (0.095, 0.905, 0.750)
Te (0.640, 0.360, 0.044)
Te (0.360, 0.640, 0.956)
Te (0.905, 0.095, 0.250)
Sn (0.754, 0.246, 0.750)
Sn (0.246, 0.754, 0.250)
Al (0.529, 0.471, 0.250)
Al (0.471, 0.529, 0.750)
Zr (0.000, 0.000, 0.500)
Zr (0.000, 0.000, 0.000)

Record 3
DFT (PBE-GGA) results for crystalline ThAlSn at its relaxed geometry.

M_tot   0.00 μB/atom
Total energy   -15.3 eV per formula unit
Crystal system   cubic

a = 4.887 Å, b = 4.887 Å, c = 4.887 Å
α = 60.00°, β = 60.00°, γ = 60.00°
Sites, in units of the cell vectors:
Al (0.000, 0.000, 0.000)
Th (0.750, 0.750, 0.750)
Sn (0.250, 0.250, 0.250)

Record 4
DFT (PBE-GGA) results for crystalline Th6Al3Sn at its relaxed geometry.

M_tot   0.02 μB/atom
Total energy   -48.8 eV per formula unit
Crystal system   tetragonal

a = 8.366 Å, b = 8.366 Å, c = 8.366 Å
α = 118.95°, β = 118.95°, γ = 91.83°
Sites, in units of the cell vectors:
Th (0.661, 0.000, 0.661)
Th (0.000, 0.661, 0.661)
Th (0.745, 0.745, 0.000)
Th (0.000, 0.339, 0.339)
Th (0.339, 0.000, 0.339)
Th (0.255, 0.255, 0.000)
Sn (0.000, 0.000, 0.000)
Al (0.750, 0.250, 0.500)
Al (0.500, 0.500, 0.000)
Al (0.250, 0.750, 0.500)

Record 5
DFT (PBE-GGA) results for crystalline ThAlSn at its relaxed geometry.

M_tot   0.00 μB/atom
Total energy   -14.6 eV per formula unit
Crystal system   cubic

a = 5.130 Å, b = 5.130 Å, c = 5.130 Å
α = 60.00°, β = 60.00°, γ = 60.00°
Sites, in units of the cell vectors:
Al (0.750, 0.750, 0.750)
Th (0.000, 0.000, 0.000)
Sn (0.250, 0.250, 0.250)

Record 6
DFT (PBE-GGA) results for crystalline U2Al2Sn3 at its relaxed geometry.

M_tot   0.86 μB/atom
Total energy   -41.3 eV per formula unit
Crystal system   orthorhombic

a = 11.438 Å, b = 11.438 Å, c = 3.185 Å
α = 90.00°, β = 90.00°, γ = 157.30°
Sites, in units of the cell vectors:
Sn (0.841, 0.159, 0.500)
Sn (0.159, 0.841, 0.500)
Sn (0.000, 0.000, 0.500)
U (0.422, 0.578, 0.000)
U (0.578, 0.422, 0.000)
Al (0.717, 0.283, 0.000)
Al (0.283, 0.717, 0.000)

Q: Which value of M_tot does entry 1 give?
A: 0.00 μB/atom

Q: Which of these has the highest M_tot?
A: U2Al2Sn3

Q: Which formula does entry 2 have?
A: ZrAlSnTe3